{
  "formula": "Li2VFeF6",
  "functional": "PBE with a Hubbard U",
  "state": "relaxed",
  "lattice": [[-4.942, -0.814, 1.584], [-1.085, -0.631, 5.114], [-2.524, 4.251, 2.701]],
  "species": ["Li", "Li", "Fe", "F", "F", "F", "F", "F", "F", "V"],
  "fractional_positions": [[0.536, 0.530, 0.418], [0.028, 0.015, 0.931], [0.818, 0.816, 0.549], [0.409, 0.725, 0.762], [0.225, 0.909, 0.261], [0.722, 0.108, 0.760], [0.911, 0.608, 0.256], [0.605, 0.221, 0.271], [0.089, 0.411, 0.765], [0.319, 0.319, 0.042]],
  "dft_energy_ev_per_atom": -5.420,
  "magmom_total_mub_per_fu": 3.0,
  "space_group": "P1 (1)"
}